Model w:
The following is a DFT calculation (PBE) of CsNaSb2I after structural relaxation.

Calculated values
- Crystal system: tetragonal
- M_tot: 2.0 μB per cell

```
CsNaSb2I
1.0
-2.984 -4.792 -0.875
4.446 -2.260 -2.785
2.318 -2.489 5.720
I Sb Na Cs
1 2 1 1
Direct
0.000 0.000 0.500 I
0.000 0.500 0.000 Sb
0.500 0.000 0.000 Sb
0.000 0.000 0.000 Na
0.500 0.500 0.500 Cs
```

=====

Model x:
The following is a DFT calculation (PBE) of CsNaSb2I after structural relaxation.

Calculated values
- Crystal system: tetragonal
- M_tot: 0.0 μB per cell

```
CsNaSb2I
1.0
6.064 0.000 0.000
0.000 6.683 0.000
0.000 0.000 6.064
Cs I Sb Na
1 1 2 1
Direct
0.000 0.500 0.000 Cs
0.000 0.000 0.000 I
0.000 0.000 0.500 Sb
0.500 0.000 0.000 Sb
0.500 0.500 0.500 Na
```

=====

Model y:
The following is a DFT calculation (PBE) of CsNaSb2I after structural relaxation.

Calculated values
- Crystal system: tetragonal
- M_tot: 2.4 μB per cell

```
CsNaSb2I
1.0
-0.789 -3.936 5.233
-2.208 -4.802 -3.945
6.631 -2.393 -0.800
Na Cs I Sb
1 1 1 2
Direct
0.500 0.500 0.500 Na
0.000 0.000 0.000 Cs
0.000 0.000 0.500 I
0.500 0.000 0.000 Sb
0.000 0.500 0.000 Sb
```

=====

List of relative energies, unit kJ/mol of atoms: model w 0.0; model x 23.1; model y 56.1

=====

Model w:
The following is a DFT calculation (PBE) of CsNb3I after structural relaxation.

Calculated values
- Crystal system: cubic
- M_tot: 2.5 μB per cell

```
CsNb3I
1.0
-1.116 3.678 3.568
-4.885 0.338 -1.877
-1.547 -3.723 3.355
Nb I Cs
3 1 1
Direct
0.500 0.000 0.000 Nb
0.000 0.000 0.500 Nb
0.000 0.500 0.000 Nb
0.000 0.000 0.000 I
0.500 0.500 0.500 Cs
```

=====

Model x:
The following is a DFT calculation (PBE) of CsNb3I after structural relaxation.

Calculated values
- Crystal system: cubic
- M_tot: 0.0 μB per cell

```
CsNb3I
1.0
-4.311 -0.068 -2.781
0.788 -4.948 -1.101
-2.667 -1.353 4.168
I Nb Cs
1 3 1
Direct
0.500 0.500 0.500 I
0.000 0.000 0.500 Nb
0.500 0.000 0.000 Nb
0.000 0.500 0.000 Nb
0.000 0.000 0.000 Cs
```

=====

List of relative energies, unit kJ/mol of atoms: model w 0.0; model x 78.9

=====

Model w:
The following is a DFT calculation (PBE) of CsNbI6 after structural relaxation.

Calculated values
- Crystal system: cubic
- M_tot: 0.0 μB per cell

```
CsNbI6
1.0
9.399 0.000 0.000
4.700 8.140 0.000
4.700 2.713 7.674
I Nb Cs
6 1 1
Direct
0.791 0.209 0.791 I
0.209 0.209 0.791 I
0.791 0.209 0.209 I
0.209 0.791 0.791 I
0.791 0.791 0.209 I
0.209 0.791 0.209 I
0.000 0.000 0.000 Nb
0.500 0.500 0.500 Cs
```

=====

Model x:
The following is a DFT calculation (PBE) of CsNbI6 after structural relaxation.

Calculated values
- Crystal system: monoclinic
- M_tot: 0.0 μB per cell

```
CsNbI6
1.0
-3.897 6.016 -1.858
-2.065 -6.860 -3.126
-7.001 -0.697 12.427
I Cs Nb
12 2 2
Direct
0.413 0.701 0.467 I
0.970 0.148 0.397 I
0.289 0.701 0.967 I
0.711 0.299 0.033 I
0.178 0.148 0.897 I
0.822 0.852 0.103 I
0.692 0.578 0.833 I
0.308 0.422 0.167 I
0.587 0.299 0.533 I
0.030 0.852 0.603 I
0.885 0.578 0.333 I
0.115 0.422 0.667 I
0.580 0.000 0.750 Cs
0.420 0.000 0.250 Cs
0.000 0.500 0.500 Nb
0.500 0.500 0.000 Nb
```

=====

List of relative energies, unit kJ/mol of atoms: model w 6.9; model x 0.0